LuSn2As: relaxed, PBE-GGA.

As for the size of the total moment: 0.000 μB/atom. For the electronic total energy, the calculation gives -17.95 eV per formula unit.

The space group is F-43m (No. 216) and the conventional cell measures 7.334, 7.334 and 7.334 Å, with angles of 90.00, 90.00 and 90.00 degrees. Symmetry generates all atoms from Lu at (0.000, 0.000, 0.000), Sn at (0.000, 0.000, 0.500), Sn at (0.250, 0.250, 0.250) and As at (0.250, 0.250, 0.750).